A plane-wave DFT calculation with PBE was carried out for PmGe3Rh2 after structural relaxation.

Results
Density ... 8.70 g/cm³
Fermi-level density of states ... 5.79 states/eV/cell
Energy above the lowest structure with this stoichiometry ... 0.0 kJ per mole of atoms
Energy of formation ... -0.685 eV/atom
Spin magnetization ... 0.00 μB/f.u.
Crystal system ... monoclinic

a = 8.4565 Å, b = 8.4565 Å, c = 9.9136 Å
α = 102.98°, β = 102.98°, γ = 28.18°
With the nearest neighbours (Å) after each atom.
Fractional positions:
Pm: 0.0000 0.0000 0.0000  6 Rh 3.13-3.30, 8 Ge 3.27-3.35
Pm: 0.1506 0.1506 0.6983  7 Ge 3.04-3.38, 4 Rh 3.31-3.33
Pm: 0.8494 0.8494 0.3017  7 Ge 3.04-3.38, 4 Rh 3.31-3.33
Ge: 0.0525 0.0525 0.3631  4 Rh 2.49-2.61, 2 Ge 2.71
Ge: 0.2262 0.2262 0.3625  4 Rh 2.49-2.74
Ge: 0.3564 0.3564 0.0781  4 Rh 2.44-2.65, 1 Ge 2.56
Ge: 0.3608 0.3608 0.8218  4 Rh 2.53-2.63, 1 Ge 2.56
Ge: 0.5000 0.5000 0.5000  4 Rh 2.61-2.68, 4 Ge 2.71
Ge: 0.6392 0.6392 0.1782  4 Rh 2.53-2.63, 1 Ge 2.56
Ge: 0.6436 0.6436 0.9219  4 Rh 2.44-2.65, 1 Ge 2.56
Ge: 0.7738 0.7738 0.6375  4 Rh 2.49-2.74
Ge: 0.9475 0.9475 0.6369  4 Rh 2.49-2.61, 2 Ge 2.71
Rh: 0.2066 0.2066 0.0800  6 Ge 2.46-2.74
Rh: 0.3497 0.3497 0.5626  7 Ge 2.49-2.68
Rh: 0.4951 0.4951 0.2354  5 Ge 2.44-2.61
Rh: 0.5049 0.5049 0.7646  5 Ge 2.44-2.61
Rh: 0.6503 0.6503 0.4374  7 Ge 2.49-2.68
Rh: 0.7934 0.7934 0.9200  6 Ge 2.46-2.74

***

A plane-wave DFT calculation with PBE was carried out for Li5MgIn2 after structural relaxation.

Results
Density ... 3.14 g/cm³
Fermi-level density of states ... 5.35 states/eV/cell
Energy above the lowest structure with this stoichiometry ... 0.3 kJ per mole of atoms
Energy of formation ... -0.201 eV/atom
Spin magnetization ... 0.00 μB/f.u.
Crystal system ... orthorhombic

a = 5.8212 Å, b = 11.3121 Å, c = 4.6321 Å
α = 90.00°, β = 90.00°, γ = 90.00°
With the nearest neighbours (Å) after each atom.
Fractional positions:
Li: 0.0000 0.0000 0.0000  2 Li 2.85, 4 In 2.85, 2 Mg 2.91
Li: 0.1027 0.2461 0.0000  7 Li 2.85-3.14, 1 Mg 2.93, 2 In 3.08
Li: 0.1825 0.6373 0.5000  4 In 2.83-2.93, 4 Li 2.91-3.14, 2 Mg 2.98
Li: 0.3175 0.1373 0.5000  4 In 2.83-2.93, 4 Li 2.91-3.14, 2 Mg 2.98
Li: 0.3973 0.7461 0.0000  7 Li 2.85-3.14, 1 Mg 2.93, 2 In 3.08
Li: 0.5000 0.5000 0.0000  2 Li 2.85, 4 In 2.85, 2 Mg 2.91
Li: 0.6027 0.2539 0.0000  7 Li 2.85-3.14, 1 Mg 2.93, 2 In 3.08
Li: 0.6825 0.8627 0.5000  4 In 2.83-2.93, 4 Li 2.91-3.14, 2 Mg 2.98
Li: 0.8175 0.3627 0.5000  4 In 2.83-2.93, 4 Li 2.91-3.14, 2 Mg 2.98
Li: 0.8973 0.7539 0.0000  7 Li 2.85-3.14, 1 Mg 2.93, 2 In 3.08
Mg: 0.0000 0.5000 0.0000  8 Li 2.91-2.98, 4 In 3.22
Mg: 0.5000 0.0000 0.0000  8 Li 2.91-2.98, 4 In 3.22
In: 0.1839 0.8877 0.5000  8 Li 2.83-3.08
In: 0.3161 0.3877 0.5000  8 Li 2.83-3.08
In: 0.6839 0.6123 0.5000  8 Li 2.83-3.08
In: 0.8161 0.1123 0.5000  8 Li 2.83-3.08

***

A plane-wave DFT calculation with PBE was carried out for LiDy2Cu2 after structural relaxation.

Results
Density ... 7.18 g/cm³
Fermi-level density of states ... 8.27 states/eV/cell
Energy of formation ... -0.161 eV/atom
Spin magnetization ... 0.00 μB/f.u.
Crystal system ... tetragonal

a = 7.5523 Å, b = 7.5523 Å, c = 3.7244 Å
α = 90.00°, β = 90.00°, γ = 90.00°
With the nearest neighbours (Å) after each atom.
Fractional positions:
Li: 0.0000 0.0000 0.0000  4 Cu 3.00
Li: 0.5000 0.5000 0.0000  4 Cu 3.00
Dy: 0.1713 0.3287 0.5000  6 Cu 2.89-2.92
Dy: 0.3287 0.8287 0.5000  6 Cu 2.89-2.92
Dy: 0.6713 0.1713 0.5000  6 Cu 2.89-2.92
Dy: 0.8287 0.6713 0.5000  6 Cu 2.89-2.92
Cu: 0.1218 0.6218 0.0000  1 Cu 2.60, 2 Dy 2.89
Cu: 0.3782 0.1218 0.0000  1 Cu 2.60, 2 Dy 2.89
Cu: 0.6218 0.8782 0.0000  1 Cu 2.60, 2 Dy 2.89
Cu: 0.8782 0.3782 0.0000  1 Cu 2.60, 2 Dy 2.89

***

What is the formula in the third record?
LiDy2Cu2

***

Please write out number 2 again, unchanged.
A plane-wave DFT calculation with PBE was carried out for Li5MgIn2 after structural relaxation.

Results
Density ... 3.14 g/cm³
Fermi-level density of states ... 5.35 states/eV/cell
Energy above the lowest structure with this stoichiometry ... 0.3 kJ per mole of atoms
Energy of formation ... -0.201 eV/atom
Spin magnetization ... 0.00 μB/f.u.
Crystal system ... orthorhombic

a = 5.8212 Å, b = 11.3121 Å, c = 4.6321 Å
α = 90.00°, β = 90.00°, γ = 90.00°
With the nearest neighbours (Å) after each atom.
Fractional positions:
Li: 0.0000 0.0000 0.0000  2 Li 2.85, 4 In 2.85, 2 Mg 2.91
Li: 0.1027 0.2461 0.0000  7 Li 2.85-3.14, 1 Mg 2.93, 2 In 3.08
Li: 0.1825 0.6373 0.5000  4 In 2.83-2.93, 4 Li 2.91-3.14, 2 Mg 2.98
Li: 0.3175 0.1373 0.5000  4 In 2.83-2.93, 4 Li 2.91-3.14, 2 Mg 2.98
Li: 0.3973 0.7461 0.0000  7 Li 2.85-3.14, 1 Mg 2.93, 2 In 3.08
Li: 0.5000 0.5000 0.0000  2 Li 2.85, 4 In 2.85, 2 Mg 2.91
Li: 0.6027 0.2539 0.0000  7 Li 2.85-3.14, 1 Mg 2.93, 2 In 3.08
Li: 0.6825 0.8627 0.5000  4 In 2.83-2.93, 4 Li 2.91-3.14, 2 Mg 2.98
Li: 0.8175 0.3627 0.5000  4 In 2.83-2.93, 4 Li 2.91-3.14, 2 Mg 2.98
Li: 0.8973 0.7539 0.0000  7 Li 2.85-3.14, 1 Mg 2.93, 2 In 3.08
Mg: 0.0000 0.5000 0.0000  8 Li 2.91-2.98, 4 In 3.22
Mg: 0.5000 0.0000 0.0000  8 Li 2.91-2.98, 4 In 3.22
In: 0.1839 0.8877 0.5000  8 Li 2.83-3.08
In: 0.3161 0.3877 0.5000  8 Li 2.83-3.08
In: 0.6839 0.6123 0.5000  8 Li 2.83-3.08
In: 0.8161 0.1123 0.5000  8 Li 2.83-3.08

***

Copy entry 3 word for word.
A plane-wave DFT calculation with PBE was carried out for LiDy2Cu2 after structural relaxation.

Results
Density ... 7.18 g/cm³
Fermi-level density of states ... 8.27 states/eV/cell
Energy of formation ... -0.161 eV/atom
Spin magnetization ... 0.00 μB/f.u.
Crystal system ... tetragonal

a = 7.5523 Å, b = 7.5523 Å, c = 3.7244 Å
α = 90.00°, β = 90.00°, γ = 90.00°
With the nearest neighbours (Å) after each atom.
Fractional positions:
Li: 0.0000 0.0000 0.0000  4 Cu 3.00
Li: 0.5000 0.5000 0.0000  4 Cu 3.00
Dy: 0.1713 0.3287 0.5000  6 Cu 2.89-2.92
Dy: 0.3287 0.8287 0.5000  6 Cu 2.89-2.92
Dy: 0.6713 0.1713 0.5000  6 Cu 2.89-2.92
Dy: 0.8287 0.6713 0.5000  6 Cu 2.89-2.92
Cu: 0.1218 0.6218 0.0000  1 Cu 2.60, 2 Dy 2.89
Cu: 0.3782 0.1218 0.0000  1 Cu 2.60, 2 Dy 2.89
Cu: 0.6218 0.8782 0.0000  1 Cu 2.60, 2 Dy 2.89
Cu: 0.8782 0.3782 0.0000  1 Cu 2.60, 2 Dy 2.89

***

The lowest energy of formation belongs to which entry?
PmGe3Rh2